# 1
The following is a PBE calculation of crystalline Cu4H9Rh2 at its relaxed geometry, from Alexandria via LeMat-Bulk.

Cell: 4.399 4.645 13.058 Å, 80.21 82.48 68.32°
Space group P-1 (No. 2)
One atom of each set of equivalent atoms:
Cu (0.010, 0.226, 0.052) x2
Cu (0.146, 0.197, 0.490) x2
Cu (0.408, 0.391, 0.149) x2
Cu (0.485, 0.994, 0.663) x2
H (0.051, 0.450, 0.237) x2
H (0.064, 0.827, 0.076) x2
H (0.129, 0.032, 0.752) x2
H (0.160, 0.401, 0.595) x2
H (0.189, 0.881, 0.418) x2
H (0.323, 0.419, 0.932) x2
H (0.430, 0.331, 0.403) x2
H (0.433, 0.069, 0.099) x2
H (0.480, 0.415, 0.755) x2
Rh (0.156, 0.645, 0.328) x2
Rh (0.244, 0.234, 0.841) x2

Calculated volume = 243.7 Å³ per cell
DOS at the Fermi energy = 2.285 states/eV per cell
Density = 6393 kg/m3
Electronic total energy = -4.043 eV/atom

---

# 2
The following is a PBE calculation of crystalline CuHRh2 at its relaxed geometry, from Alexandria via LeMat-Bulk.

Cell: 5.711 5.711 5.711 Å, 90.00 90.00 90.00°
Space group Fm-3m (No. 225)
One atom of each set of equivalent atoms:
Cu (0.000, 0.000, 0.000) x4
H (0.000, 0.000, 0.500) x4
Rh (0.250, 0.250, 0.250) x8

Calculated volume = 186.2 Å³ per cell
Relative energy among the computed polymorphs = 451.5 meV/atom
DOS at the Fermi energy = 22.055 states/eV per cell
Density = 9643 kg/m3
Electronic total energy = -5.022 eV/atom

---

# 3
The following is a PBE calculation of crystalline Cu2H4Rh at its relaxed geometry, from Alexandria via LeMat-Bulk.

Cell: 9.393 2.800 4.330 Å, 90.00 99.82 90.00°
Space group C2/m (No. 12)
One atom of each set of equivalent atoms:
Cu (0.137, 0.000, 0.035) x4
H (0.106, 0.000, 0.408) x4
H (0.162, 0.500, 0.790) x4
Rh (0.000, 0.500, 0.500) x2

Calculated volume = 112.2 Å³ per cell
DOS at the Fermi energy = 1.662 states/eV per cell
Density = 6926 kg/m3
Electronic total energy = -4.100 eV/atom

---

# 4
The following is a PBE calculation of crystalline CuH4Rh2 at its relaxed geometry, from Alexandria via LeMat-Bulk.

Cell: 5.512 5.513 5.518 Å, 90.08 119.85 119.99°
Space group P1 (No. 1)
One atom of each set of equivalent atoms:
Cu (0.000, 0.000, 0.000) x1
Cu (0.493, 0.751, 0.239) x1
H (0.219, 0.613, 0.831) x1
H (0.221, 0.613, 0.382) x1
H (0.271, 0.140, 0.858) x1
H (0.272, 0.140, 0.407) x1
H (0.719, 0.589, 0.857) x1
H (0.720, 0.138, 0.857) x1
H (0.771, 0.615, 0.383) x1
H (0.772, 0.164, 0.382) x1
Rh (0.245, 0.376, 0.619) x1
Rh (0.246, 0.876, 0.620) x1
Rh (0.745, 0.376, 0.619) x1
Rh (0.746, 0.377, 0.120) x1

Calculated volume = 118.8 Å³ per cell
Relative energy among the computed polymorphs = 13.4 meV/atom
DOS at the Fermi energy = 6.498 states/eV per cell
Density = 7645 kg/m3
Electronic total energy = -4.519 eV/atom

---

# 5
The following is a PBE calculation of crystalline CuH3Rh at its relaxed geometry, from Alexandria via LeMat-Bulk.

Cell: 3.303 3.303 3.303 Å, 90.00 90.00 90.00°
Space group Pm-3m (No. 221)
One atom of each set of equivalent atoms:
Cu (0.000, 0.000, 0.000) x1
H (0.000, 0.000, 0.500) x3
Rh (0.500, 0.500, 0.500) x1

Calculated volume = 36.0 Å³ per cell
Relative energy among the computed polymorphs = 334.9 meV/atom
DOS at the Fermi energy = 2.324 states/eV per cell
Density = 7813 kg/m3
Electronic total energy = -3.924 eV/atom

---

# 6
The following is a PBE calculation of crystalline Cu2H3Rh at its relaxed geometry, from Alexandria via LeMat-Bulk.

Cell: 9.242 3.701 2.867 Å, 90.00 107.74 90.00°
Space group C2/m (No. 12)
One atom of each set of equivalent atoms:
Cu (0.177, 0.000, 0.176) x4
H (0.000, 0.000, 0.500) x2
H (0.134, 0.500, 0.131) x4
Rh (0.000, 0.500, 0.500) x2

Calculated volume = 93.4 Å³ per cell
Relative energy among the computed polymorphs = 0.0 meV/atom
DOS at the Fermi energy = 2.572 states/eV per cell
Density = 8287 kg/m3
Electronic total energy = -4.250 eV/atom

---

# 7
The following is a PBE calculation of crystalline CuH2Rh at its relaxed geometry, from Alexandria via LeMat-Bulk.

Cell: 2.9825 2.9825 13.7225 Å, 90.00 90.00 120.00°
Space group R-3m (No. 166, hexagonal axes)
One atom of each set of equivalent atoms:
Cu (0.0000, 0.0000, 0.0000) x3
H (0.0000, 0.0000, 0.1220) x6
Rh (0.0000, 0.0000, 0.5000) x3

Calculated volume = 105.7 Å³ per cell
Relative energy among the computed polymorphs = 33.2 meV/atom
DOS at the Fermi energy = 5.114 states/eV per cell
Density = 7939 kg/m3
Electronic total energy = -4.496 eV/atom

---

# 8
The following is a PBE calculation of crystalline Cu2H5Rh2 at its relaxed geometry, from Alexandria via LeMat-Bulk.

Cell: 12.014 4.824 4.767 Å, 90.00 90.00 90.00°
Space group Ima2 (No. 46)
One atom of each set of equivalent atoms:
Cu (0.134, 0.031, 0.000) x8
H (0.046, 0.239, 0.255) x8
H (0.127, 0.674, 0.123) x8
H (0.250, 0.238, 0.223) x4
Rh (0.000, 0.000, 0.518) x4
Rh (0.250, 0.535, 0.995) x4

Calculated volume = 276.3 Å³ per cell
Relative energy among the computed polymorphs = 0.0 meV/atom
DOS at the Fermi energy = 9.121 states/eV per cell
Density = 8124 kg/m3
Electronic total energy = -4.366 eV/atom

---

# 9
The following is a PBE calculation of crystalline Cu3HRh at its relaxed geometry, from Alexandria via LeMat-Bulk.

Cell: 4.691 4.691 4.691 Å, 90.00 90.00 90.00°
Space group Pm-3m (No. 221)
One atom of each set of equivalent atoms:
Cu (0.000, 0.000, 0.500) x3
H (0.500, 0.500, 0.500) x1
Rh (0.000, 0.000, 0.000) x1

Calculated volume = 103.2 Å³ per cell
Relative energy among the computed polymorphs = 1555.6 meV/atom
DOS at the Fermi energy = 5.341 states/eV per cell
Density = 4738 kg/m3
Electronic total energy = -3.064 eV/atom

---

# 10
The following is a PBE calculation of crystalline Cu5H12Rh3 at its relaxed geometry, from Alexandria via LeMat-Bulk.

Cell: 10.556 10.556 10.556 Å, 90.00 90.00 90.00°
Space group Ia-3d (No. 230)
One atom of each set of equivalent atoms:
Cu (0.000, 0.000, 0.000) x16
Cu (0.000, 0.250, 0.375) x24
H (0.015, 0.074, 0.655) x96
Rh (0.000, 0.250, 0.125) x24

Calculated volume = 1176.3 Å³ per cell
DOS at the Fermi energy = 26.327 states/eV per cell
Density = 7211 kg/m3
Electronic total energy = -3.998 eV/atom

---

# 11
The following is a PBE calculation of crystalline Cu2H8Rh3 at its relaxed geometry, from Alexandria via LeMat-Bulk.

Cell: 9.074 5.525 4.916 Å, 90.00 104.96 90.00°
Space group C2/m (No. 12)
One atom of each set of equivalent atoms:
Cu (0.246, 0.000, 0.433) x4
H (0.089, 0.500, 0.694) x4
H (0.092, 0.243, 0.222) x8
H (0.112, 0.000, 0.736) x4
Rh (0.000, 0.000, 0.000) x2
Rh (0.000, 0.240, 0.500) x4

Calculated volume = 238.1 Å³ per cell
DOS at the Fermi energy = 6.334 states/eV per cell
Density = 6192 kg/m3
Electronic total energy = -4.354 eV/atom

---

# 12
The following is a PBE calculation of crystalline Cu3HRh at its relaxed geometry, from Alexandria via LeMat-Bulk.

Cell: 5.304 7.555 5.312 Å, 90.00 90.00 90.00°
Space group Imma (No. 74)
One atom of each set of equivalent atoms:
Cu (0.000, 0.250, 0.019) x4
Cu (0.250, 0.011, 0.250) x8
H (0.250, 0.250, 0.750) x4
Rh (0.000, 0.250, 0.513) x4

Calculated volume = 212.9 Å³ per cell
Relative energy among the computed polymorphs = 0.0 meV/atom
DOS at the Fermi energy = 9.154 states/eV per cell
Density = 9192 kg/m3
Electronic total energy = -4.619 eV/atom